No. 1
10
Lattice="6.687 0.783 0.553 3.762 4.833 0.367 3.762 1.961 4.432" Properties=species:S:1:pos:R:3 comment="V6Fe3N | Alexandria via LeMat-Bulk | GGA-PBE | optimized geometry" magnetic_moment_mub_per_fu=0.008 e_form_raw_ev_per_atom=-0.17 dos_ef_per_ev_fu=10.817 pbc="T T T"
Fe 3.520 2.521 1.781
Fe 0.000 0.000 0.000
Fe 10.691 5.057 3.572
V 5.865 2.328 3.187
V 8.347 3.796 4.224
V 8.210 2.422 1.711
V 6.001 5.156 3.642
V 5.865 3.782 1.129
V 8.347 5.249 2.166
N 7.106 3.789 2.676



No. 2
8
Lattice="-1.209 2.768 3.133 0.242 -2.092 4.494 4.703 1.008 0.807" Properties=species:S:1:pos:R:3 comment="V6FeN | Alexandria via LeMat-Bulk | GGA-PBE | optimized geometry" magnetic_moment_mub_per_fu=0.000 e_form_raw_ev_per_atom=-0.36 dos_ef_per_ev_fu=5.133 pbc="T T T"
V 1.404 0.790 1.210
V -0.172 1.191 3.027
V 3.907 0.493 5.406
V 3.704 0.248 2.411
V 2.332 0.893 7.224
V 0.032 1.435 6.023
Fe 1.868 0.842 4.217
N 0.000 0.000 0.000



No. 3
4
Lattice="0.000 2.548 2.548 2.548 0.000 2.548 2.548 2.548 0.000" Properties=species:S:1:pos:R:3 comment="VFeN2 | Alexandria via LeMat-Bulk | GGA-PBE | optimized geometry" magnetic_moment_mub_per_fu=2.746 e_form_raw_ev_per_atom=0.13 dos_ef_per_ev_fu=2.026 pbc="T T T"
N 3.823 3.823 3.823
N 1.274 1.274 1.274
Fe 2.548 2.548 2.548
V 0.000 0.000 0.000



No. 4
5
Lattice="-1.348 -1.108 3.866 -1.086 -3.825 -1.475 3.872 -1.458 0.932" Properties=species:S:1:pos:R:3 comment="V3FeN | Alexandria via LeMat-Bulk | GGA-PBE | optimized geometry" magnetic_moment_mub_per_fu=1.384 e_form_raw_ev_per_atom=1.58 dos_ef_per_ev_fu=5.732 pbc="T T T"
V -0.674 -0.554 1.933
V -0.543 -1.913 -0.737
V 1.936 -0.729 0.466
N 0.719 -3.196 1.661
Fe 0.000 0.000 0.000



No. 5
4
Lattice="1.646 0.000 5.852 -0.823 1.426 5.852 -0.823 -1.426 5.852" Properties=species:S:1:pos:R:3 comment="VFeN2 | Alexandria via LeMat-Bulk | GGA-PBE | optimized geometry" magnetic_moment_mub_per_fu=1.981 e_form_raw_ev_per_atom=0.23 dos_ef_per_ev_fu=2.820 pbc="T T T"
N 0.000 0.000 1.863
N 0.000 0.000 15.695
Fe 0.000 0.000 8.779
V 0.000 0.000 0.000



No. 6
5
Lattice="3.777 0.000 0.000 0.000 3.777 0.000 0.000 0.000 3.777" Properties=species:S:1:pos:R:3 comment="VFeN3 | Alexandria via LeMat-Bulk | GGA-PBE | optimized geometry" magnetic_moment_mub_per_fu=3.791 e_form_raw_ev_per_atom=0.75 dos_ef_per_ev_fu=4.541 pbc="T T T"
N 0.000 1.888 0.000
N 0.000 0.000 1.888
N 1.888 0.000 0.000
Fe 1.888 1.888 1.888
V 0.000 0.000 0.000



No. 7
8
Lattice="-3.246 -2.628 -1.139 2.800 -2.549 -2.099 0.385 -4.915 2.016" Properties=species:S:1:pos:R:3 comment="VFeN2 | Alexandria via LeMat-Bulk | GGA-PBE | optimized geometry" magnetic_moment_mub_per_fu=0.000 e_form_raw_ev_per_atom=-0.48 dos_ef_per_ev_fu=3.445 pbc="T T T"
Fe -1.543 -5.066 -0.371
Fe 0.000 0.000 0.000
N -1.605 -3.207 -0.478
N 0.102 -5.611 0.312
N 1.462 -3.133 -0.943
N -0.084 -8.233 -1.335
V -0.223 -2.588 -1.619
V 1.481 -5.026 -0.851



No. 8
19
Lattice="8.225 0.000 -0.006 0.987 3.907 0.000 1.485 -0.375 5.713" Properties=species:S:1:pos:R:3 comment="V8Fe3N8 | Alexandria via LeMat-Bulk | GGA-PBE | optimized geometry" magnetic_moment_mub_per_fu=0.246 e_form_raw_ev_per_atom=-0.71 dos_ef_per_ev_fu=7.481 pbc="T T T"
V 4.498 3.020 1.030
V 8.701 1.958 5.451
V 7.076 2.368 2.784
V 1.997 1.573 0.256
V 6.200 0.511 4.677
V 3.622 1.163 2.922
V 2.683 3.478 4.283
V 8.015 0.053 1.424
N 4.015 3.142 2.897
N 2.190 1.525 4.411
N 6.832 2.430 4.783
N 6.683 0.389 2.810
N 3.866 1.101 0.923
N 8.508 2.006 1.296
N 8.198 0.007 5.471
N 2.500 3.525 0.236
Fe 1.236 1.766 2.856
Fe 5.635 0.654 1.303
Fe 5.062 2.877 4.404



No. 9
5
Lattice="3.935 0.000 0.000 0.000 3.935 0.000 0.000 0.000 3.788" Properties=species:S:1:pos:R:3 comment="V2ZnFeN | Alexandria via LeMat-Bulk | GGA-PBE | optimized geometry" magnetic_moment_mub_per_fu=2.157 e_form_raw_ev_per_atom=-0.38 dos_ef_per_ev_fu=5.781 pbc="T T T"
N 0.000 0.000 0.000
V 1.968 0.000 0.000
V 0.000 1.968 0.000
Fe 0.000 0.000 1.894
Zn 1.968 1.968 1.894



No. 10
28
Lattice="-2.328 1.692 7.265 -5.021 -4.714 3.692 2.436 -4.372 6.001" Properties=species:S:1:pos:R:3 comment="Fe3W3N | Alexandria via LeMat-Bulk | GGA-PBE | optimized geometry" magnetic_moment_mub_per_fu=1.498 e_form_raw_ev_per_atom=-0.09 dos_ef_per_ev_fu=5.818 pbc="T T T"
Fe -0.045 -0.954 4.410
Fe -0.614 -0.924 2.120
Fe 0.604 -3.110 5.120
Fe -0.885 -2.953 3.296
Fe -2.928 -7.981 10.637
Fe -1.611 -2.425 5.562
Fe -6.205 -3.809 11.506
Fe -4.529 -6.817 15.635
Fe -3.125 -3.281 3.966
Fe -2.371 -1.061 3.690
Fe -1.075 -3.574 13.095
Fe -1.778 -0.078 5.752
W -1.694 -5.820 11.710
W -3.632 -3.353 12.224
W -4.447 -3.422 9.487
W -5.675 -5.270 13.726
W -3.737 -7.738 13.212
W -4.728 -5.959 10.771
W -2.641 -5.131 14.666
W -2.509 -5.889 8.973
W -1.413 -3.283 10.427
W -2.404 -1.504 7.985
W -0.466 -3.971 7.471
W -3.500 -4.111 6.531
N -4.288 -2.435 7.598
N -0.560 -2.264 8.753
N -1.907 -5.467 6.966
N -3.070 -4.621 10.599



No. 11
5
Lattice="3.925 0.000 0.000 0.000 3.925 0.000 0.000 0.000 3.925" Properties=species:S:1:pos:R:3 comment="FeWN3 | Alexandria via LeMat-Bulk | GGA-PBE | optimized geometry" magnetic_moment_mub_per_fu=4.174 e_form_raw_ev_per_atom=0.75 dos_ef_per_ev_fu=10.333 pbc="T T T"
N 1.962 0.000 0.000
N 0.000 1.962 0.000
N 0.000 0.000 1.962
W 0.000 0.000 0.000
Fe 1.962 1.962 1.962



No. 12
15
Lattice="1.432 10.682 -0.097 -1.432 10.682 -0.097 0.000 0.992 4.922" Properties=species:S:1:pos:R:3 comment="Fe3W4N8 | Alexandria via LeMat-Bulk | GGA-PBE | optimized geometry" magnetic_moment_mub_per_fu=4.646 e_form_raw_ev_per_atom=-0.24 dos_ef_per_ev_fu=6.989 pbc="T T T"
W 0.000 13.715 1.802
W 0.000 3.356 4.364
W 0.000 19.000 0.364
W 0.000 8.640 2.926
N 0.000 4.097 0.781
N 0.000 12.703 3.606
N 0.000 15.256 3.214
N 0.000 20.812 3.346
N 0.000 9.653 1.122
N 0.000 18.259 3.947
N 0.000 7.099 1.514
N 0.000 1.544 1.382
Fe 0.000 16.308 0.911
Fe 0.000 6.047 3.817
Fe 0.000 11.178 2.364



No. 13
6
Lattice="-0.140 1.650 -2.403 -0.879 -3.554 -2.389 -4.927 1.366 2.998" Properties=species:S:1:pos:R:3 comment="FeWN | Alexandria via LeMat-Bulk | GGA-PBE | optimized geometry" polymorph_energy_mev_per_atom=0 magnetic_moment_mub_per_fu=1.028 e_form_raw_ev_per_atom=0.03 dos_ef_per_ev_fu=2.344 pbc="T T T"
Fe -4.523 1.261 1.130
Fe -1.423 -1.800 -2.924
W -4.311 0.140 -1.424
W -1.636 -0.678 -0.370
N -3.203 0.279 0.379
N -2.743 -0.817 -2.173



No. 14
4
Lattice="1.707 0.000 6.164 -0.854 1.478 6.164 -0.854 -1.478 6.164" Properties=species:S:1:pos:R:3 comment="FeWN2 | Alexandria via LeMat-Bulk | GGA-PBE | optimized geometry" magnetic_moment_mub_per_fu=3.115 e_form_raw_ev_per_atom=0.02 dos_ef_per_ev_fu=2.947 pbc="T T T"
Fe 0.000 0.000 0.000
N 0.000 0.000 1.880
N 0.000 0.000 16.612
W 0.000 0.000 9.246



No. 15
4
Lattice="0.000 2.627 2.627 2.627 0.000 2.627 2.627 2.627 0.000" Properties=species:S:1:pos:R:3 comment="FeWN2 | Alexandria via LeMat-Bulk | GGA-PBE | optimized geometry" magnetic_moment_mub_per_fu=2.122 e_form_raw_ev_per_atom=0.49 dos_ef_per_ev_fu=4.886 pbc="T T T"
N 1.313 1.313 1.313
N 3.940 3.940 3.940
Fe 0.000 0.000 0.000
W 2.627 2.627 2.627



No. 16
8
Lattice="-2.317 -4.173 1.708 2.168 -2.715 -3.691 3.014 -4.191 1.371" Properties=species:S:1:pos:R:3 comment="Fe2WN | Alexandria via LeMat-Bulk | GGA-PBE | optimized geometry" polymorph_energy_mev_per_atom=0 magnetic_moment_mub_per_fu=0.000 e_form_raw_ev_per_atom=0.44 dos_ef_per_ev_fu=4.826 pbc="T T T"
Fe 1.582 -3.692 -1.577
Fe 2.425 -6.003 -0.092
Fe -0.187 -3.569 0.775
Fe 1.908 -8.893 -0.330
W 0.311 -5.904 1.044
W 0.000 0.000 0.000
N 2.553 -5.175 -1.656
N -0.075 -3.444 -0.992



No. 17
8
Lattice="-0.963 -4.397 0.133 2.715 -0.487 3.560 -2.509 -1.620 4.540" Properties=species:S:1:pos:R:3 comment="FeWN2 | Alexandria via LeMat-Bulk | GGA-PBE | optimized geometry" magnetic_moment_mub_per_fu=0.000 e_form_raw_ev_per_atom=-0.03 dos_ef_per_ev_fu=3.325 pbc="T T T"
Fe 0.876 -2.442 1.846
Fe 0.541 -2.275 4.973
W 0.000 0.000 0.000
W -1.298 -4.230 3.259
N -1.179 -3.055 4.850
N 0.933 -1.333 3.379
N -0.873 -3.140 1.661
N -0.395 -5.480 6.576



No. 18
3
Lattice="3.316 0.000 0.000 0.000 3.316 0.000 -1.658 -1.658 3.147" Properties=species:S:1:pos:R:3 comment="FeWN | Alexandria via LeMat-Bulk | GGA-PBE | optimized geometry" polymorph_energy_mev_per_atom=925 magnetic_moment_mub_per_fu=0.000 e_form_raw_ev_per_atom=0.96 dos_ef_per_ev_fu=2.560 pbc="T T T"
Fe 0.000 0.000 1.910
N 1.658 1.658 0.702
W 1.658 1.658 2.737



No. 19
4
Lattice="1.629 0.250 3.672 0.525 3.597 1.728 -2.275 1.074 3.141" Properties=species:S:1:pos:R:3 comment="Fe2WN | Alexandria via LeMat-Bulk | GGA-PBE | optimized geometry" polymorph_energy_mev_per_atom=790 magnetic_moment_mub_per_fu=1.988 e_form_raw_ev_per_atom=1.23 dos_ef_per_ev_fu=5.192 pbc="T T T"
W -0.060 2.460 4.271
N 0.000 0.000 0.000
Fe -0.030 1.230 2.135
Fe -0.091 3.691 6.406



No. 20
28
Lattice="-0.492 -7.540 -1.632 1.248 -5.260 5.526 -5.895 -4.159 2.758" Properties=species:S:1:pos:R:3 comment="Fe4W2N | Alexandria via LeMat-Bulk | GGA-PBE | optimized geometry" magnetic_moment_mub_per_fu=5.932 e_form_raw_ev_per_atom=-0.04 dos_ef_per_ev_fu=6.934 pbc="T T T"
Fe -2.587 -2.518 1.431
Fe -4.142 -8.456 3.701
Fe -2.136 -7.095 2.779
Fe -2.313 -9.555 2.221
Fe -4.658 -12.384 3.734
Fe -0.484 -3.861 -0.276
Fe -2.294 -12.727 4.612
Fe -1.733 -8.794 4.608
Fe -3.219 -10.591 4.157
Fe -0.231 -8.529 2.773
Fe -4.096 -11.646 6.049
Fe -2.977 -6.831 4.986
Fe -4.243 -14.057 5.510
Fe 0.196 -2.970 2.522
Fe 0.048 -5.990 1.897
Fe -3.851 -7.976 1.391
N -0.874 -5.854 0.077
N -0.683 -2.202 0.868
N -3.586 -4.179 2.203
N -0.036 -4.756 3.524
W -2.785 -5.511 0.780
W -4.916 -10.390 1.989
W -4.619 -5.922 3.010
W -0.528 -11.033 3.643
W -0.252 -6.585 4.658
W -2.092 -4.604 3.628
W -3.862 -9.009 6.325
W -1.299 -7.957 0.352